! NdBOs PBE optimized geometry; values from VASP
! ΔH_f (0 K), eV per atom: -0.239
! Total DFT energy (no corrections), eV/atom: -7.80
! Energy above the lowest structure with this stoichiometry, eV per atom: 0.014
&SYSTEM
  ibrav = 0, nat = 6, ntyp = 3
/
ATOMIC_SPECIES
Nd 144.24 Nd.upf
B 10.81 B.upf
Os 190.23 Os.upf
ATOMIC_POSITIONS angstrom
Nd -5.352 0.532 -2.226
Nd -1.759 -1.474 -2.095
B -1.029 1.436 -1.264
B -6.082 -2.378 -3.057
Os -7.564 -1.581 -1.684
Os 0.453 0.639 -2.638
CELL_PARAMETERS angstrom
-0.210 3.258 -2.117
1.117 -1.980 -3.158
-7.564 -1.581 -1.684

=====

! CaFeCl2 PBE optimized geometry; values from VASP
! Total DFT energy (no corrections), eV/atom: -4.26
! ΔE_f (raw), kJ per mole of atoms: -70
! Energy above the lowest structure with this stoichiometry, eV per atom: 0.103
&SYSTEM
  ibrav = 0, nat = 4, ntyp = 3
/
ATOMIC_SPECIES
Ca 40.08 Ca.upf
Fe 55.84 Fe.upf
Cl 35.45 Cl.upf
ATOMIC_POSITIONS angstrom
Ca -15.985 16.176 6.839
Fe -5.328 5.392 2.280
Cl -0.740 0.749 0.317
Cl -9.917 10.035 4.243
CELL_PARAMETERS angstrom
-5.468 8.658 3.391
-8.081 7.068 1.042
-7.764 5.842 4.685